## YAsOs (PBEsol)

Data for crystalline YAsOs at its relaxed geometry.

POSCAR file:
```
YAsOs
1.0
-0.323 -2.350 -3.858
3.750 -1.297 -2.182
1.168 -4.374 -0.091
Y Os As
1 1 1
direct
0.750 0.750 0.750 Y
0.500 0.500 0.500 Os
0.000 0.000 0.000 As
```

Properties
As for the size of the total moment: 0.0 μB/f.u. The formation energy is 0.66 eV per atom. The calculation puts the electronic total energy at -0.54326 Ry/atom.

## GdSi2 (PBEsol)

Data for crystalline GdSi2 at its relaxed geometry.

POSCAR file:
```
GdSi2
1.0
-1.961 2.253 -2.639
-3.128 -2.461 0.223
-0.133 3.989 6.514
Gd Si
2 4
direct
0.500 0.500 0.000 Gd
0.750 0.250 0.500 Gd
0.167 0.667 0.335 Si
0.333 0.833 0.665 Si
0.083 0.083 0.165 Si
0.917 0.917 0.835 Si
```

Properties
As for the size of the total moment: 6.8 μB/f.u. The calculation puts the electronic total energy at -0.68491 Ry/atom.

## AsRhW3 (PBEsol)

Data for crystalline AsRhW3 at its relaxed geometry.

POSCAR file:
```
AsRhW3
1.0
-0.135 -2.702 -3.591
4.145 1.314 -1.145
1.737 -3.345 2.452
As W Rh
1 3 1
direct
0.000 0.000 0.000 As
0.000 0.500 0.000 W
0.000 0.000 0.500 W
0.500 0.000 0.000 W
0.500 0.500 0.500 Rh
```

Properties
As for the size of the total moment: 0.0 μB/f.u. The formation energy is 1.75 eV per atom. The calculation puts the electronic total energy at -0.67511 Ry/atom.

## RbSbOF2 (PBEsol)

Data for crystalline RbSbOF2 at its relaxed geometry.

POSCAR file:
```
RbSbOF2
1.0
4.247 0.000 0.000
0.000 4.598 0.000
0.000 0.000 4.598
Rb F O Sb
1 2 1 1
direct
0.500 0.500 0.500 Rb
0.000 0.000 0.500 F
0.000 0.500 0.000 F
0.500 0.000 0.000 O
0.000 0.000 0.000 Sb
```

Properties
As for the size of the total moment: 0.0 μB/f.u. The calculation puts the electronic total energy at -0.36303 Ry/atom.

## Co7Te (PBEsol)

Data for crystalline Co7Te at its relaxed geometry.

POSCAR file:
```
Co7Te
1.0
-2.695 -4.241 -0.319
0.378 -3.499 3.600
-3.841 -0.786 3.159
Co Te
7 1
direct
0.000 0.500 0.000 Co
0.000 0.500 0.500 Co
0.000 0.000 0.500 Co
0.500 0.500 0.500 Co
0.500 0.500 0.000 Co
0.500 0.000 0.500 Co
0.500 0.000 0.000 Co
0.000 0.000 0.000 Te
```

Properties
As for the size of the total moment: 8.5 μB/f.u. The calculation puts the electronic total energy at -0.51871 Ry/atom.

## MnAu2 (PBEsol)

Data for crystalline MnAu2 at its relaxed geometry.

POSCAR file:
```
MnAu2
1.0
3.331 0.000 0.000
0.000 3.336 0.000
-1.666 -1.668 4.298
Au Mn
2 1
direct
0.339 0.339 0.678 Au
0.661 0.661 0.322 Au
0.000 0.000 0.000 Mn
```

Properties
As for the size of the total moment: 4.0 μB/f.u. As for the energy above the most stable polymorph in this dataset: 0 kJ/mol of formula units. The formation energy is -0.04 eV per atom. The calculation puts the electronic total energy at -0.43448 Ry/atom.

## MgTc2Ag (PBEsol)

Data for crystalline MgTc2Ag at its relaxed geometry.

POSCAR file:
```
MgTc2Ag
1.0
-1.231 2.846 1.936
-0.389 -2.158 2.925
5.075 0.627 -1.146
Mg Tc Ag
1 2 1
direct
0.000 0.000 0.000 Mg
0.750 0.250 0.500 Tc
0.250 0.750 0.500 Tc
0.500 0.500 0.000 Ag
```

Properties
As for the size of the total moment: 0.0 μB/f.u. The formation energy is 0.37 eV per atom. The calculation puts the electronic total energy at -0.47888 Ry/atom.

## ZrCd2Te (PBEsol)

Data for crystalline ZrCd2Te at its relaxed geometry.

POSCAR file:
```
ZrCd2Te
1.0
-1.620 3.773 0.831
-0.735 -1.177 3.909
4.544 1.653 1.352
Cd Zr Te
2 1 1
direct
0.500 0.500 0.000 Cd
0.000 0.000 0.000 Cd
0.000 0.500 0.500 Zr
0.500 0.000 0.500 Te
```

Properties
As for the size of the total moment: 0.0 μB/f.u. The calculation puts the electronic total energy at -0.28680 Ry/atom.

## LiY2Ag (PBEsol)

Data for crystalline LiY2Ag at its relaxed geometry.

POSCAR file:
```
LiY2Ag
1.0
-1.383 -0.580 3.315
0.985 -3.496 -0.202
6.360 1.622 2.937
Y Ag Li
2 1 1
direct
0.000 0.000 0.239 Y
0.000 0.000 0.761 Y
0.500 0.500 0.000 Ag
0.500 0.500 0.500 Li
```

Properties
As for the size of the total moment: 0.0 μB/f.u. As for the energy above the most stable polymorph in this dataset: 2 kJ/mol of formula units. The formation energy is -0.11 eV per atom. The calculation puts the electronic total energy at -0.35575 Ry/atom.

## CaRe3Si (PBEsol)

Data for crystalline CaRe3Si at its relaxed geometry.

POSCAR file:
```
CaRe3Si
1.0
4.493 0.000 0.000
0.000 4.493 0.000
0.000 0.000 4.493
Si Re Ca
1 3 1
direct
0.000 0.000 0.000 Si
0.500 0.000 0.000 Re
0.000 0.000 0.500 Re
0.000 0.500 0.000 Re
0.500 0.500 0.500 Ca
```

Properties
As for the size of the total moment: 0.0 μB/f.u. The calculation puts the electronic total energy at -0.62497 Ry/atom.

## CuRh2Br (PBEsol)

Data for crystalline CuRh2Br at its relaxed geometry.

POSCAR file:
```
CuRh2Br
1.0
2.936 -0.005 0.000
-0.075 4.643 0.000
-1.431 -2.319 4.327
Br Rh Cu
1 2 1
direct
0.500 0.000 0.000 Br
0.500 0.500 0.500 Rh
0.000 0.000 0.500 Rh
0.000 0.500 0.000 Cu
```

Properties
As for the size of the total moment: 0.0 μB/f.u. As for the energy above the most stable polymorph in this dataset: 55 kJ/mol of formula units. The calculation puts the electronic total energy at -0.37118 Ry/atom.

## Y2MgIr (PBEsol)

Data for crystalline Y2MgIr at its relaxed geometry.

POSCAR file:
```
Y2MgIr
1.0
3.922 0.000 0.000
1.961 3.396 0.000
1.961 1.132 8.253
Y Ir Mg
2 1 1
direct
0.728 0.728 0.817 Y
0.272 0.272 0.183 Y
0.000 0.000 0.000 Ir
0.500 0.500 0.500 Mg
```

Properties
As for the size of the total moment: 0.0 μB/f.u. The formation energy is -0.32 eV per atom. The calculation puts the electronic total energy at -0.48602 Ry/atom.